# Li8Ga2Pb

Crystalline Li8Ga2Pb at its relaxed geometry (GGA-PBE, the Alexandria database).

Output
- Raw total energy: -2.442 eV/atom
- V: 17.4 Å³/atom
- DOS(E_F): 6.26 states/eV/cell
- Crystal system: monoclinic

```
data_Li8Ga2Pb
_chemical_formula_sum 'Li16 Ga4 Pb2'
_space_group_name_H-M_alt 'C 1 2/m 1'
_space_group_IT_number 12
_cell_length_a 7.4685
_cell_length_b 13.8261
_cell_length_c 4.6663
_cell_angle_alpha 90.00
_cell_angle_beta 127.22
_cell_angle_gamma 90.00
loop_
_space_group_symop_operation_xyz
'x,y,z'
'-x,-y,-z'
'-x,y,-z'
'x,-y,z'
'x+1/2,y+1/2,z'
'-x+1/2,-y+1/2,-z'
'-x+1/2,y+1/2,-z'
'x+1/2,-y+1/2,z'
loop_
_atom_site_label
_atom_site_type_symbol
_atom_site_fract_x
_atom_site_fract_y
_atom_site_fract_z
_atom_site_occupancy
Li1 Li 0.0000 0.2085 0.0000 1
Li2 Li 0.0563 0.5000 0.7875 1
Li3 Li 0.2284 0.1362 0.7111 1
Ga1 Ga 0.0000 0.3185 0.5000 1
Pb1 Pb 0.0000 0.0000 0.0000 1
```